NdThTe4 after structural relaxation. Source: the Alexandria database, functional PBE.

a = 7.617 Å, b = 7.722 Å, c = 7.783 Å
α = 90.00°, β = 91.90°, γ = 90.00°
Atoms (fractional coordinates):
Nd 0.000 0.000 0.000
Nd 0.000 0.500 0.500
Th 0.500 0.000 0.500
Th 0.500 0.500 0.000
Te 0.129 0.128 0.626
Te 0.129 0.372 0.126
Te 0.361 0.650 0.652
Te 0.361 0.850 0.152
Te 0.639 0.150 0.848
Te 0.639 0.350 0.348
Te 0.871 0.628 0.874
Te 0.871 0.872 0.374

Values from the calculation:
Space group = P2_1/c, No. 14
Density of states at the Fermi level = 0.894 states/eV per atom
E above lowest polymorph = 20.1 kJ per mole of atoms

=====

NdThTe2 after structural relaxation. Source: the Alexandria database, functional PBE.

a = 7.709 Å, b = 7.709 Å, c = 7.709 Å
α = 90.00°, β = 90.00°, γ = 90.00°
Atoms (fractional coordinates):
Nd 0.000 0.000 0.000
Nd 0.000 0.500 0.500
Nd 0.500 0.000 0.500
Nd 0.500 0.500 0.000
Th 0.000 0.000 0.500
Th 0.000 0.500 0.000
Th 0.500 0.000 0.000
Th 0.500 0.500 0.500
Te 0.250 0.250 0.250
Te 0.250 0.250 0.750
Te 0.250 0.750 0.250
Te 0.250 0.750 0.750
Te 0.750 0.250 0.250
Te 0.750 0.250 0.750
Te 0.750 0.750 0.250
Te 0.750 0.750 0.750

Values from the calculation:
Space group = Fm-3m, No. 225
Density of states at the Fermi level = 0.875 states/eV per atom
E above lowest polymorph = 1.7 kJ per mole of atoms

=====

Nd3Th2Te8 after structural relaxation. Source: the Alexandria database, functional PBE.

a = 9.366 Å, b = 9.366 Å, c = 5.425 Å
α = 90.00°, β = 90.00°, γ = 109.72°
Atoms (fractional coordinates):
Nd 0.000 0.000 0.000
Nd 0.274 0.274 0.500
Nd 0.726 0.726 0.500
Th 0.254 0.746 0.000
Th 0.746 0.254 0.000
Te 0.120 0.371 0.000
Te 0.120 0.880 0.500
Te 0.366 0.634 0.500
Te 0.371 0.120 0.000
Te 0.629 0.880 0.000
Te 0.634 0.366 0.500
Te 0.880 0.120 0.500
Te 0.880 0.629 0.000

Values from the calculation:
Space group = Cmmm, No. 65
Density of states at the Fermi level = 0.247 states/eV per atom

=====

Nd6ThTe8 after structural relaxation. Source: the Alexandria database, functional PBE.

a = 8.953 Å, b = 8.953 Å, c = 8.953 Å
α = 60.00°, β = 60.00°, γ = 60.00°
Atoms (fractional coordinates):
Nd 0.000 0.000 0.500
Nd 0.000 0.500 0.000
Nd 0.000 0.500 0.500
Nd 0.500 0.000 0.000
Nd 0.500 0.000 0.500
Nd 0.500 0.500 0.000
Th 0.000 0.000 0.000
Te 0.250 0.250 0.250
Te 0.256 0.256 0.744
Te 0.256 0.744 0.256
Te 0.256 0.744 0.744
Te 0.744 0.256 0.256
Te 0.744 0.256 0.744
Te 0.744 0.744 0.256
Te 0.750 0.750 0.750

Values from the calculation:
Space group = Fm-3m, No. 225
Density of states at the Fermi level = 0.561 states/eV per atom

=====

NdThTe3 after structural relaxation. Source: the Alexandria database, functional PBE.

a = 8.588 Å, b = 4.356 Å, c = 17.582 Å
α = 90.00°, β = 90.00°, γ = 90.00°
Atoms (fractional coordinates):
Nd 0.080 0.250 0.206
Nd 0.420 0.750 0.706
Nd 0.580 0.250 0.294
Nd 0.920 0.750 0.794
Th 0.239 0.750 0.459
Th 0.261 0.250 0.959
Th 0.739 0.750 0.041
Th 0.761 0.250 0.541
Te 0.001 0.750 0.603
Te 0.112 0.750 0.072
Te 0.192 0.250 0.780
Te 0.308 0.750 0.280
Te 0.388 0.250 0.572
Te 0.499 0.250 0.103
Te 0.501 0.750 0.897
Te 0.612 0.750 0.428
Te 0.692 0.250 0.720
Te 0.808 0.750 0.220
Te 0.888 0.250 0.928
Te 0.999 0.250 0.397

Values from the calculation:
Space group = Pnma, No. 62
Density of states at the Fermi level = 0.520 states/eV per atom
E above lowest polymorph = 0.0 kJ per mole of atoms

=====

Nd5ThTe6 after structural relaxation. Source: the Alexandria database, functional PBE.

a = 7.788 Å, b = 7.788 Å, c = 7.797 Å
α = 99.62°, β = 99.62°, γ = 120.23°
Atoms (fractional coordinates):
Nd 0.000 0.000 0.000
Nd 0.167 0.833 0.500
Nd 0.330 0.670 0.000
Nd 0.670 0.330 0.000
Nd 0.833 0.167 0.500
Th 0.500 0.500 0.500
Te 0.085 0.417 0.251
Te 0.253 0.253 0.752
Te 0.417 0.085 0.251
Te 0.583 0.915 0.749
Te 0.747 0.747 0.248
Te 0.915 0.583 0.749

Values from the calculation:
Space group = C2/m, No. 12
Density of states at the Fermi level = 0.552 states/eV per atom

=====

Nd2Th3Te8 after structural relaxation. Source: the Alexandria database, functional PBE.

a = 9.387 Å, b = 9.387 Å, c = 5.452 Å
α = 90.00°, β = 90.00°, γ = 109.94°
Atoms (fractional coordinates):
Nd 0.235 0.765 0.000
Nd 0.765 0.235 0.000
Th 0.238 0.238 0.500
Th 0.500 0.500 0.000
Th 0.762 0.762 0.500
Te 0.127 0.873 0.500
Te 0.136 0.382 0.000
Te 0.382 0.136 0.000
Te 0.383 0.617 0.500
Te 0.617 0.383 0.500
Te 0.618 0.864 0.000
Te 0.864 0.618 0.000
Te 0.873 0.127 0.500

Values from the calculation:
Space group = Cmmm, No. 65
Density of states at the Fermi level = 0.371 states/eV per atom
E above lowest polymorph = 0.0 kJ per mole of atoms

=====

NdTh3Te6 after structural relaxation. Source: the Alexandria database, functional PBE.

a = 11.664 Å, b = 4.243 Å, c = 13.826 Å
α = 90.00°, β = 104.95°, γ = 90.00°
Atoms (fractional coordinates):
Nd 0.040 0.250 0.197
Nd 0.960 0.750 0.803
Th 0.127 0.250 0.574
Th 0.318 0.750 0.978
Th 0.371 0.250 0.362
Th 0.629 0.750 0.638
Th 0.682 0.250 0.022
Th 0.873 0.750 0.426
Te 0.113 0.250 0.961
Te 0.148 0.750 0.402
Te 0.203 0.750 0.744
Te 0.247 0.750 0.190
Te 0.417 0.250 0.598
Te 0.473 0.250 0.127
Te 0.527 0.750 0.873
Te 0.583 0.750 0.402
Te 0.753 0.250 0.810
Te 0.797 0.250 0.256
Te 0.852 0.250 0.598
Te 0.887 0.750 0.039

Values from the calculation:
Space group = P2_1/m, No. 11
Density of states at the Fermi level = 0.317 states/eV per atom

=====

| no. | DFT total energy (eV/atom) |
| --- | --- |
| 1 | -5.088 |
| 2 | -5.824 |
| 3 | -5.379 |
| 4 | -5.472 |
| 5 | -5.638 |
| 6 | -5.526 |
| 7 | -5.588 |
| 8 | -5.791 |